Entry 1:
Computed, not measured: BeCu2Te after structural relaxation at the PBE level of DFT.

Values from the calculation:
* E: -3.50 eV/atom
* excess energy over the best structure of this formula in the dataset: 88.6 meV/atom
* space-group type: P2/m, No. 10

```
BeCu2Te
1.0
3.644 0.000 0.000
0.000 3.780 0.000
-0.003 0.000 4.831
Be Cu Te
1 2 1
direct
0.000 0.000 0.000
0.002 0.500 0.752
0.998 0.500 0.248
0.500 0.000 0.500
```

---

Entry 2:
Computed, not measured: BeCu2Te after structural relaxation at the PBE level of DFT.

Values from the calculation:
* E: -3.40 eV/atom
* excess energy over the best structure of this formula in the dataset: 188.6 meV/atom
* space-group type: P4/mmm, No. 123

```
BeCu2Te
1.0
3.714 0.000 0.000
0.000 3.714 0.000
0.000 0.000 4.391
Be Cu Te
1 2 1
direct
0.000 0.000 0.000
0.000 0.500 0.500
0.500 0.000 0.500
0.500 0.500 0.000
```

---

Entry 3:
Computed, not measured: BeCuTe2 after structural relaxation at the PBE level of DFT.

Values from the calculation:
* E: -3.69 eV/atom
* space-group type: I-42d, No. 122

```
BeCuTe2
1.0
-2.909 2.909 5.698
2.909 -2.909 5.698
2.909 2.909 -5.698
Be Cu Te
2 2 4
direct
0.000 0.000 0.000
0.750 0.250 0.500
0.250 0.750 0.500
0.500 0.500 0.000
0.108 0.625 0.983
0.375 0.358 0.483
0.642 0.125 0.017
0.875 0.892 0.517
```

---

Entry 4:
Computed, not measured: BeCuTe2 after structural relaxation at the PBE level of DFT.

Values from the calculation:
* E: -3.38 eV/atom
* space-group type: R-3m, No. 166

```
BeCuTe2
1.0
1.876 1.083 7.839
-1.876 1.083 7.839
0.000 -2.166 7.839
Be Cu Te
1 1 2
direct
0.000 0.000 0.000
0.500 0.500 0.500
0.396 0.396 0.396
0.604 0.604 0.604
```

---

Entry 5:
Computed, not measured: BeCuTe2 after structural relaxation at the PBE level of DFT.

Values from the calculation:
* E: -2.70 eV/atom
* space-group type: F-43m, No. 216

```
BeCuTe2
1.0
0.000 3.485 3.485
3.485 0.000 3.485
3.485 3.485 0.000
Be Cu Te
1 1 2
direct
0.000 0.000 0.000
0.250 0.250 0.250
0.500 0.500 0.500
0.750 0.750 0.750
```

---

Entry 6:
Computed, not measured: BeCuTe2 after structural relaxation at the PBE level of DFT.

Values from the calculation:
* E: -3.53 eV/atom
* space-group type: Cm, No. 8

```
BeCuTe2
1.0
3.915 -1.912 0.000
3.915 1.912 0.000
-1.200 0.000 5.966
Be Cu Te
1 1 2
direct
0.000 0.000 0.000
0.280 0.280 0.954
0.527 0.527 0.724
0.812 0.812 0.267
```

---

- Which value of E does entry 2 give?
  -3.40 eV/atom